ZrSiAg2: optimized geometry, PBE.

POSCAR file:
```
ZrSiAg2
1.0
-3.681 -1.908 -2.137
2.634 -0.887 -3.746
1.320 -1.546 4.198
Ag Zr Si
2 1 1
Cartesian
0.000 0.000 0.000
1.715 -1.915 -1.245
-1.442 -2.426 -0.440
-0.523 -1.398 -2.941
```

Results
Formation energy without anion corrections, meV/atom: -71.0
V, Å³/cell: 71.8
Size of the total moment, μB/f.u.: 0.00
Space group: F-43m (216)